The following is a PBE calculation of NbTlCdSe3 after structural relaxation, from OQMD.

Unit cell a=3.8761 b=15.0528 c=10.5969 alpha=90.00 beta=90.00 gamma=90.00
Closest atoms and distances in Å follow each position.
Space group Cmcm (No. 63)
Asymmetric unit:
Nb 0.0000 0.0000 0.0000  6 Se 2.73-2.83
Tl 0.0000 0.2590 0.2500  8 Se 3.27-3.67, 2 Cd 3.60
Cd 0.0000 0.4422 0.7500  4 Se 2.60-2.68
Se 0.0000 0.0656 0.7500  2 Cd 2.68, 2 Nb 2.83
Se 0.0000 0.3733 0.5245  1 Cd 2.60, 2 Nb 2.73

## Properties
As for the energy relative to the lowest polymorph listed for this composition: 128 meV/atom. For the magnetization, the calculation gives 2.00 μB/f.u. As for the electronic total energy: -105.24 eV per cell.